[1]
A plane-wave DFT calculation with GGA-PBE was carried out for an optimized crystal structure of KLaSnHg.

The structure in CIF format:
```
data_KLaSnHg
_space_group_name_H-M_alt 'F -4 3 m'
_space_group_IT_number 216
_space_group_name_Hall 'F -4 2 3'
_cell_length_a 7.9874
_cell_length_b 7.9874
_cell_length_c 7.9874
_cell_angle_alpha 90.00
_cell_angle_beta 90.00
_cell_angle_gamma 90.00
loop_
_atom_site_label
_atom_site_type_symbol
_atom_site_fract_x
_atom_site_fract_y
_atom_site_fract_z
K1 K 0.0000 0.0000 0.0000
La1 La 0.0000 0.0000 0.5000
Sn1 Sn 0.2500 0.2500 0.7500
Hg1 Hg 0.2500 0.2500 0.2500
```

Computed properties:
E_form   -0.381 eV per atom

[2]
A plane-wave DFT calculation with GGA-PBE was carried out for an optimized crystal structure of LiAcPmAu.

The structure in CIF format:
```
data_LiAcPmAu
_space_group_name_H-M_alt 'F -4 3 m'
_space_group_IT_number 216
_space_group_name_Hall 'F -4 2 3'
_cell_length_a 7.6710
_cell_length_b 7.6710
_cell_length_c 7.6710
_cell_angle_alpha 90.00
_cell_angle_beta 90.00
_cell_angle_gamma 90.00
loop_
_atom_site_label
_atom_site_type_symbol
_atom_site_fract_x
_atom_site_fract_y
_atom_site_fract_z
Li1 Li 0.0000 0.0000 0.0000
Ac1 Ac 0.2500 0.2500 0.2500
Pm1 Pm 0.2500 0.2500 0.7500
Au1 Au 0.0000 0.0000 0.5000
```

Computed properties:
E_form   -0.305 eV per atom

[3]
A plane-wave DFT calculation with GGA-PBE was carried out for an optimized crystal structure of Pr8BiIr2.

The structure in CIF format:
```
data_Pr8BiIr2
_space_group_name_H-M_alt 'C 1 2/m 1'
_space_group_IT_number 12
_space_group_name_Hall '-C 2y'
_cell_length_a 8.9030
_cell_length_b 13.9282
_cell_length_c 5.7969
_cell_angle_alpha 90.00
_cell_angle_beta 103.02
_cell_angle_gamma 90.00
loop_
_atom_site_label
_atom_site_type_symbol
_atom_site_fract_x
_atom_site_fract_y
_atom_site_fract_z
Pr1 Pr 0.0000 0.2496 0.0000
Pr2 Pr 0.1032 0.0000 0.7994
Pr3 Pr 0.2038 0.3727 0.5707
Bi1 Bi 0.0000 0.5000 0.0000
Ir1 Ir 0.0000 0.2005 0.5000
```

Computed properties:
E_form   -0.374 eV per atom

[4]
A plane-wave DFT calculation with GGA-PBE was carried out for an optimized crystal structure of LaNi2Os.

The structure in CIF format:
```
data_LaNi2Os
_space_group_name_H-M_alt 'P 4 m m'
_space_group_IT_number 99
_space_group_name_Hall 'P 4 -2'
_cell_length_a 3.0728
_cell_length_b 3.0728
_cell_length_c 6.9535
_cell_angle_alpha 90.00
_cell_angle_beta 90.00
_cell_angle_gamma 90.00
loop_
_atom_site_label
_atom_site_type_symbol
_atom_site_fract_x
_atom_site_fract_y
_atom_site_fract_z
La1 La 0.0000 0.0000 0.0000
Ni1 Ni 0.0000 0.0000 0.4811
Ni2 Ni 0.5000 0.5000 0.3002
Os1 Os 0.5000 0.5000 0.6627
```

Computed properties:
E_form   0.254 eV per atom

[5]
A plane-wave DFT calculation with GGA-PBE was carried out for an optimized crystal structure of LaSm2C2.

The structure in CIF format:
```
data_LaSm2C2
_space_group_name_H-M_alt 'R -3 m'
_space_group_IT_number 166
_space_group_name_Hall '-R 3 2"'
_cell_length_a 3.7593
_cell_length_b 3.7593
_cell_length_c 29.6581
_cell_angle_alpha 90.00
_cell_angle_beta 90.00
_cell_angle_gamma 120.00
loop_
_atom_site_label
_atom_site_type_symbol
_atom_site_fract_x
_atom_site_fract_y
_atom_site_fract_z
La1 La 0.0000 0.0000 0.0000
Sm1 Sm 0.0000 0.0000 0.2339
C1 C 0.0000 0.0000 0.3936
```

Computed properties:
E_form   -0.057 eV per atom

[6]
A plane-wave DFT calculation with GGA-PBE was carried out for an optimized crystal structure of HoHgAu.

The structure in CIF format:
```
data_HoHgAu
_space_group_name_H-M_alt 'P -6 m 2'
_space_group_IT_number 187
_space_group_name_Hall 'P -6 2'
_cell_length_a 4.8166
_cell_length_b 4.8166
_cell_length_c 3.3821
_cell_angle_alpha 90.00
_cell_angle_beta 90.00
_cell_angle_gamma 120.00
loop_
_atom_site_label
_atom_site_type_symbol
_atom_site_fract_x
_atom_site_fract_y
_atom_site_fract_z
Ho1 Ho 0.0000 0.0000 0.0000
Hg1 Hg 0.3333 0.6667 0.5000
Au1 Au 0.6667 0.3333 0.5000
```

Computed properties:
E_form   -0.573 eV per atom

[7]
A plane-wave DFT calculation with GGA-PBE was carried out for an optimized crystal structure of Fe2TeCl.

The structure in CIF format:
```
data_Fe2TeCl
_space_group_name_H-M_alt 'C 1 2/m 1'
_space_group_IT_number 12
_space_group_name_Hall '-C 2y'
_cell_length_a 6.6471
_cell_length_b 6.6534
_cell_length_c 3.1908
_cell_angle_alpha 90.00
_cell_angle_beta 90.35
_cell_angle_gamma 90.00
loop_
_atom_site_label
_atom_site_type_symbol
_atom_site_fract_x
_atom_site_fract_y
_atom_site_fract_z
Fe1 Fe 0.2500 0.2500 0.0000
Te1 Te 0.0000 0.0000 0.5000
Cl1 Cl 0.0000 0.5000 0.5000
```

Computed properties:
Uncorrected formation energy   0.433 eV per atom

[8]
A plane-wave DFT calculation with GGA-PBE was carried out for an optimized crystal structure of TiCNO2.

The structure in CIF format:
```
data_TiCNO2
_space_group_name_H-M_alt 'P 4/m m m'
_space_group_IT_number 123
_space_group_name_Hall '-P 4 2'
_cell_length_a 3.7855
_cell_length_b 3.7855
_cell_length_c 4.1470
_cell_angle_alpha 90.00
_cell_angle_beta 90.00
_cell_angle_gamma 90.00
loop_
_atom_site_label
_atom_site_type_symbol
_atom_site_fract_x
_atom_site_fract_y
_atom_site_fract_z
Ti1 Ti 0.0000 0.0000 0.0000
C1 C 0.5000 0.5000 0.5000
N1 N 0.0000 0.0000 0.5000
O1 O 0.0000 0.5000 0.0000
```

Computed properties:
Uncorrected formation energy   0.605 eV per atom